Record 1
This record from Alexandria describes a geometry-optimized Ga2ReTc2 structure. The functional is PBE.

The formation energy is -45 meV/atom. The calculation puts the density of states at the Fermi level at 0.708 states/eV per atom. For the energy above the most stable polymorph in this dataset, the calculation gives 0.0000 eV per atom.

The space group is Cmmm (No. 65) and the conventional cell measures 2.779, 19.488 and 2.870 Å, with angles of 90.00, 90.00 and 90.00 degrees. The inequivalent atoms are Ga at (0.000, 0.189, 0.000), Re at (0.000, 0.000, 0.000) and Tc at (0.000, 0.407, 0.500).



Record 2
This record from Alexandria describes a geometry-optimized AcAlGaBr structure. The functional is PBE.

The calculation puts the density of states at the Fermi level at 0.180 states/eV per atom. The formation energy (no corrections) is -0.899 eV/atom.

The space group is R-3m (No. 166, hexagonal axes) and the conventional cell measures 4.4409, 4.4409 and 43.6248 Å, with angles of 90.00, 90.00 and 120.00 degrees. The inequivalent atoms are Ac at (0.0000, 0.0000, 0.0807), Al at (0.0000, 0.0000, 0.3101), Ga at (0.0000, 0.0000, 0.3718) and Br at (0.0000, 0.0000, 0.2084).



Record 3
This record from Alexandria describes a geometry-optimized SrSnAu11 structure. The functional is PBE.

The formation energy is -200 meV/atom. The calculation puts the density of states at the Fermi level at 0.298 states/eV per atom.

The space group is C2/m (No. 12) and the conventional cell measures 5.585, 13.202 and 7.569 Å, with angles of 90.00, 108.03 and 90.00 degrees. The inequivalent atoms are Sr at (0.000, 0.000, 0.000), Sn at (0.000, 0.500, 0.500), Au at (0.000, 0.000, 0.500), Au at (0.088, 0.392, 0.213), Au at (0.138, 0.181, 0.346) and Au at (0.250, 0.250, 0.000).



Record 4
This record from Alexandria describes a geometry-optimized ErZnPd14 structure. The functional is PBE.

The formation energy is -282 meV/atom. The calculation puts the density of states at the Fermi level at 1.732 states/eV per atom.

The space group is P4/mmm (No. 123) and the conventional cell measures 5.651, 5.651 and 7.905 Å, with angles of 90.00, 90.00 and 90.00 degrees. The inequivalent atoms are Er at (0.000, 0.000, 0.000), Zn at (0.500, 0.500, 0.000), Pd at (0.000, 0.000, 0.500), Pd at (0.000, 0.500, 0.000), Pd at (0.000, 0.500, 0.500), Pd at (0.253, 0.253, 0.251) and Pd at (0.500, 0.500, 0.500).



Record 5
This record from Alexandria describes a geometry-optimized Cr2AsPb structure. The functional is PBE.

The formation energy is 467 meV/atom. The calculation puts the density of states at the Fermi level at 0.899 states/eV per atom. For the energy above the most stable polymorph in this dataset, the calculation gives 0.2482 eV per atom.

The space group is Immm (No. 71) and the conventional cell measures 3.655, 5.486 and 7.810 Å, with angles of 90.00, 90.00 and 90.00 degrees. The inequivalent atoms are Cr at (0.000, 0.000, 0.215), As at (0.000, 0.500, 0.500) and Pb at (0.000, 0.500, 0.000).



Record 6
This record from Alexandria describes a geometry-optimized LiSeN2F structure. The functional is PBE.

The calculation puts the density of states at the Fermi level at 0.347 states/eV per atom. The formation energy (no corrections) is 0.470 eV/atom. For the energy above the most stable polymorph in this dataset, the calculation gives 0.0000 eV per atom.

The space group is P4/mmm (No. 123) and the conventional cell measures 3.710, 3.710 and 4.648 Å, with angles of 90.00, 90.00 and 90.00 degrees. The inequivalent atoms are Li at (0.000, 0.000, 0.000), Se at (0.500, 0.500, 0.500), N at (0.000, 0.500, 0.500) and F at (0.500, 0.500, 0.000).



Record 7
This record from Alexandria describes a geometry-optimized Pu2PbCl structure. The functional is PBE.

The calculation puts the density of states at the Fermi level at 3.600 states/eV per atom. The formation energy (no corrections) is -0.563 eV/atom. For the energy above the most stable polymorph in this dataset, the calculation gives 0.0000 eV per atom.

The space group is P4/mmm (No. 123) and the conventional cell measures 3.444, 3.444 and 8.613 Å, with angles of 90.00, 90.00 and 90.00 degrees. The inequivalent atoms are Pu at (0.000, 0.000, 0.234), Pb at (0.500, 0.500, 0.500) and Cl at (0.500, 0.500, 0.000).



Record 8
This record from Alexandria describes a geometry-optimized GaMo2Ru2 structure. The functional is PBE.

The formation energy is 123 meV/atom. The calculation puts the density of states at the Fermi level at 0.481 states/eV per atom.

The space group is P4/mbm (No. 127) and the conventional cell measures 7.461, 7.461 and 2.862 Å, with angles of 90.00, 90.00 and 90.00 degrees. The inequivalent atoms are Ga at (0.000, 0.000, 0.000), Mo at (0.163, 0.337, 0.500) and Ru at (0.129, 0.629, 0.000).



Record 9
This record from Alexandria describes a geometry-optimized PPt3 structure. The functional is PBE.

The formation energy is -59 meV/atom. The calculation puts the density of states at the Fermi level at 0.855 states/eV per atom. For the energy above the most stable polymorph in this dataset, the calculation gives 0.1898 eV per atom.

The space group is Cmcm (No. 63) and the conventional cell measures 7.268, 7.808 and 4.655 Å, with angles of 90.00, 90.00 and 90.00 degrees. The inequivalent atoms are P at (0.000, 0.058, 0.250), Pt at (0.000, 0.377, 0.250) and Pt at (0.199, 0.333, 0.750).



Record 10
This record from Alexandria describes a geometry-optimized InNiMo2 structure. The functional is PBE.

The formation energy is 210 meV/atom. The calculation puts the density of states at the Fermi level at 0.688 states/eV per atom.

The space group is P4mm (No. 99) and the conventional cell measures 2.777, 2.777 and 8.212 Å, with angles of 90.00, 90.00 and 90.00 degrees. The inequivalent atoms are In at (0.000, 0.000, 0.000), Ni at (0.500, 0.500, 0.760), Mo at (0.000, 0.000, 0.552) and Mo at (0.500, 0.500, 0.281).



Record 11
This record from Alexandria describes a geometry-optimized YHf2FeGe structure. The functional is PBE.

The formation energy is 87 meV/atom. The calculation puts the density of states at the Fermi level at 1.419 states/eV per atom.

The space group is P4/mmm (No. 123) and the conventional cell measures 4.867, 4.867 and 4.717 Å, with angles of 90.00, 90.00 and 90.00 degrees. The inequivalent atoms are Y at (0.000, 0.000, 0.000), Hf at (0.000, 0.500, 0.500), Fe at (0.500, 0.500, 0.500) and Ge at (0.500, 0.500, 0.000).



Record 12
This record from Alexandria describes a geometry-optimized CrFe2H structure. The functional is PBE.

The calculation puts the density of states at the Fermi level at 1.076 states/eV per atom. For the energy above the most stable polymorph in this dataset, the calculation gives 0.3043 eV per atom.

The space group is R-3m (No. 166, hexagonal axes) and the conventional cell measures 2.5046, 2.5046 and 21.6958 Å, with angles of 90.00, 90.00 and 120.00 degrees. The inequivalent atoms are Cr at (0.0000, 0.0000, 0.0000), Fe at (0.0000, 0.0000, 0.4263) and H at (0.0000, 0.0000, 0.5000).